meta-GGA SCAN LaZr2Ir, PBEsol geometry; total moment = 0.0 μB/f.u.; final energy = -177.183 eV for the cell shown
1.0
3.2827 0.0000 0.0000
0.0000 5.2088 -0.0668
-1.6414 -2.5315 5.3485
Ir La Zr
1 1 2
Direct
0.0000 0.5000 0.0000 Ir
0.5000 0.0000 0.0000 La
0.2922 0.2922 0.5844 Zr
0.7078 0.7078 0.4156 Zr

***

meta-GGA SCAN La2ZrIr, PBEsol geometry; total moment = 0.0 μB/f.u.; final energy = -188.527 eV for the cell shown
1.0
5.0124 0.0000 0.0000
2.5062 4.3408 0.0000
2.5062 1.4469 4.0926
Ir La Zr
1 2 1
Direct
0.5000 0.5000 0.5000 Ir
0.0000 0.0000 0.0000 La
0.7500 0.7500 0.7500 La
0.2500 0.2500 0.2500 Zr

***

meta-GGA SCAN La2ZrIr, PBEsol geometry; total moment = 0.0 μB/f.u.; final energy = -189.681 eV for the cell shown
1.0
3.5798 0.0000 0.0000
0.0000 5.3585 -0.0239
-1.7899 -2.6108 5.3437
Ir La Zr
1 2 1
Direct
0.2318 0.7253 0.4637 Ir
0.9609 0.9640 0.9217 La
0.7531 0.2534 0.5061 La
0.5542 0.5572 0.1085 Zr

***

meta-GGA SCAN LaZr2Ir2, PBEsol geometry; total moment = 0.0 μB/f.u.; final energy = -251.602 eV for the cell shown
1.0
4.5209 0.0000 0.0000
0.0000 4.5209 0.0000
-2.2605 -2.2605 5.4228
Ir Zr La
2 2 1
Direct
0.3803 0.3803 0.7606 Ir
0.6197 0.6197 0.2394 Ir
0.2500 0.7500 0.5000 Zr
0.7500 0.2500 0.5000 Zr
0.0000 0.0000 0.0000 La

***

meta-GGA SCAN La3ZrIr, PBEsol geometry; total moment = 0.0 μB/f.u.; final energy = -226.312 eV for the cell shown
1.0
5.3199 0.0000 0.0000
0.0000 5.3199 0.0000
0.0000 0.0000 5.3199
Ir Zr La
1 1 3
Direct
0.5000 0.5000 0.5000 Ir
0.0000 0.0000 0.0000 Zr
0.0000 0.5000 0.0000 La
0.0000 0.0000 0.5000 La
0.5000 0.0000 0.0000 La

***

meta-GGA SCAN La3ZrIr, PBEsol geometry; total moment = 3.0 μB/f.u.; final energy = -231.507 eV for the cell shown
1.0
-5.4060 1.0202 -0.5098
-1.1397 -4.7407 2.5985
0.0424 2.6477 4.8490
Ir Zr La
1 1 3
Direct
0.0000 0.0000 0.0000 Ir
0.5000 0.5000 0.5000 Zr
0.0000 0.5000 0.0000 La
0.0000 0.0000 0.5000 La
0.5000 0.0000 0.0000 La

***

meta-GGA SCAN LiIr4, PBEsol geometry; total moment = 0.0 μB/f.u.; final energy = -287.379 eV for the cell shown
1.0
-2.7803 1.4748 -2.1103
0.7413 -0.2531 -4.5557
-3.3043 -3.0181 -1.1580
Ir Li
4 1
Direct
0.6048 0.1971 0.5934 Ir
0.8019 0.5934 0.8029 Ir
0.3952 0.8029 0.4066 Ir
0.1981 0.4066 0.1971 Ir
0.0000 0.0000 0.0000 Li

***

meta-GGA SCAN Li3Ir, PBEsol geometry; total moment = 0.0 μB/f.u.; final energy = -78.752 eV for the cell shown
1.0
-0.8183 -1.7126 1.9176
-0.1896 -0.6953 -2.6001
8.6553 -3.7265 0.3654
Ir Li
1 3
Direct
0.0000 0.0000 0.0000 Ir
0.0000 0.0000 0.5000 Li
0.3333 0.6667 0.7782 Li
0.3333 0.6667 0.2218 Li

***

meta-GGA SCAN Li2Ir, PBEsol geometry; total moment = 0.0 μB/f.u.; final energy = -306.401 eV for the cell shown
1.0
-0.6937 -4.2641 -0.8003
4.3014 -0.7818 0.4374
-2.8383 1.2195 8.0235
Ir Li
4 8
Direct
0.1655 0.6655 0.3309 Ir
0.3345 0.8345 0.6691 Ir
0.9155 0.9155 0.8309 Ir
0.0845 0.0845 0.1691 Ir
0.9990 0.4990 0.9980 Li
0.5010 0.0010 0.0020 Li
0.7490 0.7490 0.4980 Li
0.2510 0.2510 0.5020 Li
0.8381 0.3381 0.6761 Li
0.6619 0.1619 0.3239 Li
0.5881 0.5881 0.1761 Li
0.4119 0.4119 0.8239 Li

***

meta-GGA SCAN LiIr, PBEsol geometry; total moment = 0.1 μB/f.u.; final energy = -221.816 eV for the cell shown
1.0
2.6463 0.0000 0.0000
-1.3231 4.9422 -0.0028
0.0000 -1.4632 6.2546
Ir Li
3 3
Direct
0.9693 0.9386 0.9913 Ir
0.3457 0.6915 0.6585 Ir
0.4032 0.8063 0.2959 Ir
0.6704 0.3408 0.3175 Li
0.0696 0.1393 0.6107 Li
0.7084 0.4168 0.9595 Li

***

meta-GGA SCAN Li3Ir, PBEsol geometry; total moment = 0.0 μB/f.u.; final energy = -79.005 eV for the cell shown
1.0
-0.9010 -1.6626 -1.6096
3.9086 -2.6527 1.8293
-4.0535 0.5384 2.9899
Ir Li
1 3
Direct
0.0000 0.0000 0.0000 Ir
0.5000 0.5000 0.0000 Li
0.0000 0.5000 0.5000 Li
0.5000 0.0000 0.5000 Li

***

meta-GGA SCAN LiIr2, PBEsol geometry; total moment = 0.0 μB/f.u.; final energy = -144.629 eV for the cell shown
1.0
2.6666 0.0000 0.0000
0.0000 2.6666 0.0000
-1.3333 -1.3333 5.9355
Ir Li
2 1
Direct
0.3259 0.3259 0.6518 Ir
0.6741 0.6741 0.3482 Ir
0.0000 0.0000 0.0000 Li

***

meta-GGA SCAN LiIr3, PBEsol geometry; total moment = 0.0 μB/f.u.; final energy = -215.982 eV for the cell shown
1.0
-2.1952 -0.0698 1.5395
0.6573 -3.6709 0.7709
2.8694 1.3863 4.1542
Ir Li
3 1
Direct
0.5000 0.5000 0.7561 Ir
0.0000 0.0000 0.5000 Ir
0.5000 0.5000 0.2439 Ir
0.0000 0.0000 0.0000 Li

***

meta-GGA SCAN LiIr3, PBEsol geometry; total moment = 0.0 μB/f.u.; final energy = -216.279 eV for the cell shown
1.0
-1.8986 1.4175 1.2497
-0.6761 -3.4790 2.9190
4.0624 1.4254 1.6838
Ir Li
3 1
Direct
0.5000 0.5000 0.0000 Ir
0.2421 0.7512 0.4843 Ir
0.7579 0.2488 0.5157 Ir
0.0000 0.0000 0.0000 Li

***

meta-GGA SCAN LiIr2, PBEsol geometry; total moment = 0.0 μB/f.u.; final energy = -289.631 eV for the cell shown
1.0
2.6920 0.0000 0.0000
0.0000 4.2663 0.0000
-1.3460 0.0000 6.8515
Ir Li
4 2
Direct
0.7827 0.7500 0.5654 Ir
0.4469 0.7500 0.8938 Ir
0.2173 0.2500 0.4346 Ir
0.5531 0.2500 0.1062 Ir
0.1107 0.7500 0.2215 Li
0.8893 0.2500 0.7785 Li

***

meta-GGA SCAN Li3Ir, PBEsol geometry; total moment = 0.0 μB/f.u.; final energy = -78.942 eV for the cell shown
1.0
2.5248 0.0000 0.0000
0.0000 4.8241 0.0253
0.0000 -2.0369 4.3730
Ir Li
1 3
Direct
0.0000 0.0000 0.0000 Ir
0.5000 0.0000 0.5000 Li
0.5000 0.5000 0.0000 Li
0.0000 0.5000 0.5000 Li

***

meta-GGA SCAN LiIr2, PBEsol geometry; total moment = 0.0 μB/f.u.; final energy = -289.503 eV for the cell shown
1.0
2.6812 0.0000 0.0000
-1.3406 4.8445 0.0027
0.0000 -1.6001 6.2886
Ir Li
4 2
Direct
0.3051 0.6102 0.8609 Ir
0.9716 0.9432 0.1922 Ir
0.0284 0.0568 0.8078 Ir
0.6949 0.3898 0.1391 Ir
0.6358 0.2716 0.5264 Li
0.3642 0.7284 0.4736 Li

***

meta-GGA SCAN Li3Ir2, PBEsol geometry; total moment = 0.1 μB/f.u.; final energy = -150.630 eV for the cell shown
1.0
-2.2517 -0.4411 -1.3399
-0.7057 -2.4826 -0.6315
-6.5977 -1.8517 9.0627
Ir Li
2 3
Direct
0.6021 0.6021 0.1937 Ir
0.3979 0.3979 0.8063 Ir
0.0000 0.0000 0.0000 Li
0.2067 0.2067 0.3799 Li
0.7933 0.7933 0.6201 Li

***

meta-GGA SCAN Li2Ir, PBEsol geometry; total moment = 0.0 μB/f.u.; final energy = -152.767 eV for the cell shown
1.0
-0.0104 1.0471 -2.3752
-2.0412 -4.7193 -0.6531
-5.2897 3.5041 1.5680
Ir Li
2 4
Direct
0.7947 0.5895 0.8561 Ir
0.2053 0.4105 0.1439 Ir
0.4723 0.9446 0.1663 Li
0.1500 0.3000 0.5332 Li
0.8500 0.7000 0.4668 Li
0.5277 0.0554 0.8337 Li

***

meta-GGA SCAN LiIr, PBEsol geometry; total moment = 0.0 μB/f.u.; final energy = -74.148 eV for the cell shown
1.0
2.6372 0.0000 0.0000
-1.3186 2.2839 0.0000
0.0000 0.0000 4.3629
Ir Li
1 1
Direct
0.0000 0.0000 0.0000 Ir
0.3333 0.6667 0.5000 Li